A relaxed structure of Rb2CoI6Cl. Source: Alexandria via LeMat-Bulk, functional PBE.

Results
ΔE_f (raw): -0.55 eV per atom
D(E_F): 27.97 states/eV/f.u.
Spin magnetization: 0.110 μB per atom

Lattice parameters (Å, degrees): 8.084 8.084 8.311 60.90 60.90 90.00
Each line ends with the local moment (μB).
Atoms (fractional coordinates):
Rb 0.750 0.250 0.500  0.00
I 0.234 0.234 0.000  0.01
Cl 0.500 0.500 0.000  -0.04
I 0.766 0.234 0.000  0.01
Co 0.000 0.000 0.000  0.94
I 0.766 0.766 0.000  0.01
I 0.213 0.213 0.573  0.03
I 0.787 0.787 0.427  0.03
I 0.234 0.766 0.000  0.01
Rb 0.250 0.750 0.500  0.00


A relaxed structure of CoSICl2. Source: Alexandria via LeMat-Bulk, functional PBE.

Results
ΔE_f (raw): 0.96 eV per atom
D(E_F): 11.25 states/eV/f.u.
Spin magnetization: 0.466 μB per atom
Excess energy over the best structure of this formula in the dataset: 0.8085 eV per atom

Lattice parameters (Å, degrees): 5.450 5.450 5.188 90.00 90.00 90.00
Each line ends with the local moment (μB).
Atoms (fractional coordinates):
S 0.000 0.000 0.500  -0.03
I 0.000 0.000 0.000  0.00
Co 0.500 0.500 0.500  2.19
Cl 0.000 0.500 0.000  0.01
Cl 0.500 0.000 0.000  0.01


A relaxed structure of CoSICl2. Source: Alexandria via LeMat-Bulk, functional PBE.

Results
ΔE_f (raw): 0.15 eV per atom
D(E_F): 6.69 states/eV/f.u.
Spin magnetization: 0.333 μB per atom
Excess energy over the best structure of this formula in the dataset: 0.0000 eV per atom

Lattice parameters (Å, degrees): 4.555 4.555 4.930 90.00 90.00 90.00
Each line ends with the local moment (μB).
Atoms (fractional coordinates):
Cl 0.000 0.500 0.000  0.07
I 0.500 0.500 0.500  0.01
Cl 0.500 0.000 0.000  0.07
S 0.000 0.000 0.500  0.03
Co 0.000 0.000 0.000  1.40


A relaxed structure of CoS2ICl. Source: Alexandria via LeMat-Bulk, functional PBE.

Results
ΔE_f (raw): 0.30 eV per atom
D(E_F): 5.36 states/eV/f.u.
Spin magnetization: 0.226 μB per atom
Excess energy over the best structure of this formula in the dataset: 0.0000 eV per atom

Lattice parameters (Å, degrees): 4.576 4.576 4.589 90.00 90.00 90.00
Each line ends with the local moment (μB).
Atoms (fractional coordinates):
Cl 0.000 0.000 0.500  0.02
S 0.000 0.500 0.000  0.09
Co 0.000 0.000 0.000  0.82
I 0.500 0.500 0.500  -0.02
S 0.500 0.000 0.000  0.09


A relaxed structure of CoSb2ICl. Source: Alexandria via LeMat-Bulk, functional PBE.

Results
ΔE_f (raw): 1.24 eV per atom
D(E_F): 8.12 states/eV/f.u.
Spin magnetization: 0.484 μB per atom
Excess energy over the best structure of this formula in the dataset: 1.0381 eV per atom

Lattice parameters (Å, degrees): 5.125 5.125 6.569 90.00 90.00 90.00
Each line ends with the local moment (μB).
Atoms (fractional coordinates):
I 0.000 0.000 0.500  0.04
Cl 0.000 0.000 0.000  0.00
Sb 0.500 0.000 0.000  0.01
Co 0.500 0.500 0.500  2.24
Sb 0.000 0.500 0.000  0.01


A relaxed structure of CoSb2ICl. Source: Alexandria via LeMat-Bulk, functional PBE.

Results
ΔE_f (raw): 0.21 eV per atom
D(E_F): 4.48 states/eV/f.u.
Spin magnetization: 0.000 μB per atom
Excess energy over the best structure of this formula in the dataset: 0.0000 eV per atom

Lattice parameters (Å, degrees): 4.949 4.949 5.319 90.00 90.00 90.00
Atoms (fractional coordinates):
Co 0.000 0.000 0.000
Sb 0.500 0.000 0.000
Sb 0.000 0.500 0.000
Cl 0.500 0.500 0.500
I 0.000 0.000 0.500


A relaxed structure of Sm3CoICl. Source: Alexandria via LeMat-Bulk, functional PBE.

Results
ΔE_f (raw): -0.85 eV per atom
D(E_F): 4.24 states/eV/f.u.
Spin magnetization: 0.080 μB per atom

Lattice parameters (Å, degrees): 4.025 9.223 9.663 97.57 90.00 90.00
Each line ends with the local moment (μB).
Atoms (fractional coordinates):
Sm 0.250 0.647 0.409  0.17
I 0.250 0.094 0.179  0.00
Sm 0.750 0.395 0.180  0.01
Sm 0.250 0.605 0.820  0.01
I 0.750 0.906 0.821  0.00
Cl 0.250 0.140 0.591  0.01
Sm 0.750 0.353 0.591  0.17
Cl 0.750 0.860 0.409  0.01
Co 0.250 0.568 0.112  0.04
Sm 0.750 0.771 0.117  0.00
Sm 0.250 0.229 0.883  0.00
Co 0.750 0.432 0.888  0.04


A relaxed structure of Sm4CoI2Cl. Source: Alexandria via LeMat-Bulk, functional PBE.

Results
ΔE_f (raw): -0.85 eV per atom
D(E_F): 3.76 states/eV/f.u.
Spin magnetization: 0.000 μB per atom

Lattice parameters (Å, degrees): 4.046 7.439 8.173 107.34 90.00 90.00
Atoms (fractional coordinates):
Sm 0.500 0.743 0.815
Sm 0.500 0.257 0.185
I 0.000 0.500 0.500
Sm 0.000 0.696 0.188
Sm 0.000 0.304 0.812
Co 0.500 0.500 0.000
Cl 0.000 0.000 0.000
I 0.500 0.000 0.500


A relaxed structure of Sm6Co2ICl3. Source: Alexandria via LeMat-Bulk, functional PBE.

Results
ΔE_f (raw): -0.90 eV per atom
D(E_F): 10.25 states/eV/f.u.
Spin magnetization: 0.000 μB per atom

Lattice parameters (Å, degrees): 3.914 8.745 10.393 100.05 100.85 90.00
Atoms (fractional coordinates):
Co 0.173 0.351 0.345
Sm 0.044 0.304 0.088
Cl 0.178 0.864 0.355
Sm 0.685 0.570 0.371
Sm 0.315 0.430 0.629
Cl 0.500 0.500 0.000
Sm 0.679 0.148 0.357
Co 0.827 0.649 0.655
I 0.500 0.000 0.000
Cl 0.822 0.136 0.645
Sm 0.956 0.696 0.912
Sm 0.321 0.852 0.643


A relaxed structure of CoTeI2Cl. Source: Alexandria via LeMat-Bulk, functional PBE.

Results
ΔE_f (raw): 0.29 eV per atom
D(E_F): 7.10 states/eV/f.u.
Spin magnetization: 0.218 μB per atom
Excess energy over the best structure of this formula in the dataset: 0.0000 eV per atom

Lattice parameters (Å, degrees): 5.326 5.326 4.904 90.00 90.00 90.00
Each line ends with the local moment (μB).
Atoms (fractional coordinates):
Te 0.000 0.000 0.500  -0.04
Co 0.000 0.000 0.000  0.78
I 0.500 0.000 0.000  0.07
Cl 0.500 0.500 0.500  0.12
I 0.000 0.500 0.000  0.07


A relaxed structure of CoTe2ICl. Source: Alexandria via LeMat-Bulk, functional PBE.

Results
ΔE_f (raw): 0.30 eV per atom
D(E_F): 7.49 states/eV/f.u.
Spin magnetization: 0.176 μB per atom
Excess energy over the best structure of this formula in the dataset: 0.0000 eV per atom

Lattice parameters (Å, degrees): 5.006 5.006 5.326 90.00 90.00 90.00
Each line ends with the local moment (μB).
Atoms (fractional coordinates):
Co 0.000 0.000 0.000  0.60
Cl 0.500 0.500 0.500  0.07
I 0.000 0.000 0.500  0.01
Te 0.500 0.000 0.000  0.05
Te 0.000 0.500 0.000  0.05


A relaxed structure of CoTe2ICl. Source: Alexandria via LeMat-Bulk, functional PBE.

Results
ΔE_f (raw): 1.23 eV per atom
D(E_F): 8.56 states/eV/f.u.
Spin magnetization: 0.602 μB per atom
Excess energy over the best structure of this formula in the dataset: 0.9368 eV per atom

Lattice parameters (Å, degrees): 5.471 5.471 5.514 90.00 90.00 90.00
Each line ends with the local moment (μB).
Atoms (fractional coordinates):
Te 0.500 0.000 0.000  0.13
Co 0.500 0.500 0.500  2.29
Cl 0.000 0.000 0.000  0.03
I 0.000 0.000 0.500  0.08
Te 0.000 0.500 0.000  0.13